(1)
VASP calculation (PBE with a Hubbard U) on a geometry-optimized KMn2TlF8 structure.

Summary:
* D(E_F): 0.0 states/eV per cell
* raw total energy: -5.207 eV/atom

Lattice parameters (Å, degrees): 5.8219 5.3122 6.7637 89.05 89.47 88.91
Last column: nearest neighbours and their distance in Å.
Sites, in units of the cell vectors:
F (0.7551, 0.2859, 0.7426)  1 Mn 1.86
F (0.6312, 0.6872, 0.9552)  1 Mn 1.92
F (0.3643, 0.3098, 0.5396)  1 Mn 1.92
F (0.2449, 0.7141, 0.2574)  1 Mn 1.86
F (0.7581, 0.2889, 0.2536)  1 Mn 1.86
F (0.3688, 0.3128, 0.0448)  1 Mn 1.92
F (0.6357, 0.6902, 0.4604)  1 Mn 1.92
Mn (0.5012, 0.5010, 0.2533)  4 F 1.86-1.92
Tl (0.0000, 0.0000, 0.0000)  6 F 2.69-2.76
Mn (0.4988, 0.4990, 0.7467)  4 F 1.86-1.92
K (0.0000, 0.0000, 0.5000)  6 F 2.64-2.73
F (0.2419, 0.7111, 0.7464)  1 Mn 1.86

***

(2)
VASP calculation (PBE with a Hubbard U) on a geometry-optimized K2MnVF6 structure.

Summary:
* D(E_F): 0.0 states/eV per cell
* raw total energy: -5.607 eV/atom

Lattice parameters (Å, degrees): 5.9874 5.9974 8.4818 90.00 90.00 90.00
Last column: nearest neighbours and their distance in Å.
Sites, in units of the cell vectors:
F (0.7509, 0.9994, 0.0000)  1 V 2.11, 1 Mn 2.13
F (0.2508, 0.4991, 0.5000)  1 V 2.11, 1 Mn 2.13
V (0.5000, 0.2499, 0.5000)  6 F 2.11-2.12
Mn (0.5000, 0.2501, 0.0000)  6 F 2.12-2.13
K (0.5000, 0.7500, 0.7503)  12 F 2.99-3.00
K (0.0000, 0.2500, 0.2503)  12 F 2.99-3.00
F (0.7491, 0.0006, 0.5000)  1 V 2.11, 1 Mn 2.13
K (0.5000, 0.7500, 0.2497)  12 F 2.99-3.00
F (0.0000, 0.7500, 0.7503)  1 V 2.12, 1 Mn 2.12
K (0.0000, 0.2500, 0.7497)  12 F 2.99-3.00
F (0.2492, 0.5009, 0.0000)  1 V 2.11, 1 Mn 2.13
V (0.0000, 0.7501, 0.0000)  6 F 2.11-2.12
F (0.2509, 0.0006, 0.5000)  1 V 2.11, 1 Mn 2.13
F (0.7492, 0.4991, 0.5000)  1 V 2.11, 1 Mn 2.13
F (0.2491, 0.9994, 0.0000)  1 V 2.11, 1 Mn 2.13
Mn (0.0000, 0.7499, 0.5000)  6 F 2.12-2.13
F (0.5000, 0.2500, 0.2503)  1 V 2.12, 1 Mn 2.12
F (0.0000, 0.7500, 0.2497)  1 V 2.12, 1 Mn 2.12
F (0.5000, 0.2500, 0.7497)  1 V 2.12, 1 Mn 2.12
F (0.7508, 0.5009, 0.0000)  1 V 2.11, 1 Mn 2.13

***

(3)
VASP calculation (PBE with a Hubbard U) on a geometry-optimized KMnVF6 structure.

Summary:
* D(E_F): 0.0 states/eV per cell
* raw total energy: -5.870 eV/atom

Lattice parameters (Å, degrees): 5.5553 5.5732 5.6439 90.09 90.03 59.86
Last column: nearest neighbours and their distance in Å.
Sites, in units of the cell vectors:
F (0.3602, 0.6166, 0.3057)  1 V 1.99, 1 Mn 2.15
F (0.3600, 0.0232, 0.6942)  1 V 1.99, 1 Mn 2.15
F (0.0224, 0.3589, 0.3068)  1 V 1.99, 1 Mn 2.15
F (0.6176, 0.3605, 0.6940)  1 V 1.99, 1 Mn 2.16
F (0.6178, 0.0218, 0.3061)  1 V 1.99, 1 Mn 2.16
K (0.0001, 0.0000, 0.0000)  6 F 2.69
Mn (0.6657, 0.6670, 0.5000)  6 F 2.15-2.16
V (0.3338, 0.3331, 0.5000)  6 F 1.99
F (0.0223, 0.6188, 0.6931)  1 V 1.99, 1 Mn 2.16

***

(4)
VASP calculation (PBE with a Hubbard U) on a geometry-optimized K3MnV2F9 structure.

Summary:
* D(E_F): 0.0 states/eV per cell
* raw total energy: -5.604 eV/atom

Lattice parameters (Å, degrees): 5.9861 5.9861 7.3301 90.00 90.00 120.00
Last column: nearest neighbours and their distance in Å.
Sites, in units of the cell vectors:
F (0.5000, 0.0000, 0.0000)  2 V 2.11
F (0.1671, 0.3342, 0.3326)  1 V 2.11, 1 Mn 2.12
F (0.8329, 0.1671, 0.6674)  1 V 2.11, 1 Mn 2.12
K (0.6667, 0.3333, 0.3316)  12 F 2.98-3.00
K (0.3333, 0.6667, 0.6684)  12 F 2.98-3.00
F (0.3342, 0.1671, 0.6674)  1 V 2.11, 1 Mn 2.12
F (0.1671, 0.8329, 0.3326)  1 V 2.11, 1 Mn 2.12
Mn (0.0000, 0.0000, 0.5000)  6 F 2.12
K (0.0000, 0.0000, 0.0000)  12 F 2.99
V (0.6667, 0.3333, 0.8338)  6 F 2.11
V (0.3333, 0.6667, 0.1662)  6 F 2.11
F (0.6658, 0.8329, 0.3326)  1 V 2.11, 1 Mn 2.12
F (0.8329, 0.6658, 0.6674)  1 V 2.11, 1 Mn 2.12
F (0.5000, 0.5000, 0.0000)  2 V 2.11
F (0.0000, 0.5000, 0.0000)  2 V 2.11

***

(5)
VASP calculation (PBE with a Hubbard U) on a geometry-optimized K3Mn2VF9 structure.

Summary:
* D(E_F): 0.0 states/eV per cell
* raw total energy: -5.608 eV/atom

Lattice parameters (Å, degrees): 6.0068 6.0068 7.3482 90.00 90.00 120.00
Last column: nearest neighbours and their distance in Å.
Sites, in units of the cell vectors:
Mn (0.3333, 0.6667, 0.1676)  6 F 2.13
F (0.1663, 0.3325, 0.3344)  1 V 2.12, 1 Mn 2.13
Mn (0.6667, 0.3333, 0.8324)  6 F 2.13
K (0.6667, 0.3333, 0.3345)  12 F 2.99-3.01
F (0.8337, 0.1663, 0.6656)  1 V 2.12, 1 Mn 2.13
K (0.3333, 0.6667, 0.6655)  12 F 2.99-3.01
K (0.0000, 0.0000, 0.0000)  12 F 3.00
V (0.0000, 0.0000, 0.5000)  6 F 2.12
F (0.3325, 0.1663, 0.6656)  1 V 2.12, 1 Mn 2.13
F (0.1663, 0.8337, 0.3344)  1 V 2.12, 1 Mn 2.13
F (0.0000, 0.5000, 0.0000)  2 Mn 2.13
F (0.5000, 0.5000, 0.0000)  2 Mn 2.13
F (0.5000, 0.0000, 0.0000)  2 Mn 2.13
F (0.8337, 0.6675, 0.6656)  1 V 2.12, 1 Mn 2.13
F (0.6675, 0.8337, 0.3344)  1 V 2.12, 1 Mn 2.13

***

(6)
VASP calculation (PBE with a Hubbard U) on a geometry-optimized KMn2VF8 structure.

Summary:
* D(E_F): 0.0 states/eV per cell
* raw total energy: -5.951 eV/atom

Lattice parameters (Å, degrees): 5.0610 5.0174 6.9598 90.00 90.00 87.94
Last column: nearest neighbours and their distance in Å.
Sites, in units of the cell vectors:
Mn (0.4999, 0.4999, 0.2495)  6 F 2.11-2.35
F (0.8084, 0.2152, 0.1965)  1 V 1.98, 1 Mn 2.11
Mn (0.5001, 0.5001, 0.7505)  6 F 2.11-2.35
F (0.2913, 0.2736, 0.0001)  1 V 2.05
F (0.6417, 0.6917, 0.4999)  2 Mn 2.13
K (0.0000, 0.0000, 0.5000)  6 F 2.43-2.55
V (0.0000, 0.0000, 0.0000)  6 F 1.98-2.05
F (0.8086, 0.2153, 0.8035)  1 V 1.98, 1 Mn 2.11
F (0.3583, 0.3083, 0.5001)  2 Mn 2.13
F (0.1916, 0.7848, 0.8035)  1 V 1.98, 1 Mn 2.11
F (0.7087, 0.7264, 0.9999)  1 V 2.05
F (0.1914, 0.7847, 0.1965)  1 V 1.98, 1 Mn 2.11

***

(7)
VASP calculation (PBE with a Hubbard U) on a geometry-optimized K2YMnF6 structure.

Summary:
* D(E_F): 1.9 states/eV per cell
* raw total energy: -5.676 eV/atom

Lattice parameters (Å, degrees): 6.3925 6.3902 6.3947 59.95 59.98 90.00
Last column: nearest neighbours and their distance in Å.
Sites, in units of the cell vectors:
F (0.7562, 0.7552, 0.0002)  1 Y 2.21, 1 Mn 2.31
Mn (0.5000, 0.5000, 0.0000)  6 F 2.31
K (0.2495, 0.7498, 0.5004)  12 F 3.19-3.20
F (0.7554, 0.7550, 0.4888)  1 Y 2.21, 1 Mn 2.31
Y (0.0000, 0.0000, 0.0000)  6 F 2.21
F (0.7559, 0.2443, 0.9996)  1 Y 2.21, 1 Mn 2.31
F (0.2438, 0.2448, 0.9998)  1 Y 2.21, 1 Mn 2.31
F (0.2441, 0.7557, 0.0004)  1 Y 2.21, 1 Mn 2.31
F (0.2446, 0.2450, 0.5112)  1 Y 2.21, 1 Mn 2.31
K (0.7505, 0.2502, 0.4996)  12 F 3.19-3.20

***

(8)
VASP calculation (PBE with a Hubbard U) on a geometry-optimized K2Mn3ZnF12 structure.

Summary:
* D(E_F): 2.7 states/eV per cell
* raw total energy: -4.981 eV/atom

Lattice parameters (Å, degrees): 7.3102 7.3102 7.3102 59.84 59.84 59.84
Last column: nearest neighbours and their distance in Å.
Sites, in units of the cell vectors:
K (0.3753, 0.3753, 0.3753)  6 F 3.05-3.16
F (0.9197, 0.3383, 0.9197)  1 Mn 1.96, 1 Zn 2.06
Mn (0.5000, 0.0000, 0.0000)  6 F 1.96
F (0.0817, 0.6816, 0.6816)  2 Mn 1.96
F (0.6617, 0.0803, 0.0803)  1 Mn 1.96, 1 Zn 2.06
F (0.9183, 0.3184, 0.3184)  2 Mn 1.96
K (0.6247, 0.6247, 0.6247)  6 F 3.05-3.16
F (0.3383, 0.9197, 0.9197)  1 Mn 1.96, 1 Zn 2.06
F (0.6816, 0.0817, 0.6816)  2 Mn 1.96
F (0.3184, 0.9183, 0.3184)  2 Mn 1.96
F (0.0803, 0.0803, 0.6617)  1 Mn 1.96, 1 Zn 2.06
Mn (0.0000, 0.0000, 0.5000)  6 F 1.96
F (0.6816, 0.6816, 0.0817)  2 Mn 1.96
F (0.9197, 0.9197, 0.3383)  1 Mn 1.96, 1 Zn 2.06
Zn (0.0000, 0.0000, 0.0000)  6 F 2.06
Mn (0.0000, 0.5000, 0.0000)  6 F 1.96
F (0.3184, 0.3184, 0.9183)  2 Mn 1.96
F (0.0803, 0.6617, 0.0803)  1 Mn 1.96, 1 Zn 2.06